A relaxed structure of Th3Pb2C. Source: Alexandria, functional GGA-PBE.

a b c (Å): 5.393 7.172 8.846
angles (deg): 90.00 72.25 90.00
Fractional coordinates of all 12 atoms:
Th 0.500 0.250 0.000
Th 0.500 0.750 0.000
Th 0.106 0.000 0.788
Th 0.894 0.500 0.212
Th 0.106 0.500 0.788
Th 0.894 0.000 0.212
Pb 0.698 0.750 0.605
Pb 0.698 0.250 0.605
Pb 0.302 0.750 0.395
Pb 0.302 0.250 0.395
C 0.000 0.750 0.000
C 0.000 0.250 0.000

symmetry = Cmmm (65)
energy = -6.757 eV/atom
spin magnetization = 0.00 μB/cell
volume = 326 Å³/cell



A relaxed structure of Th4PbC. Source: Alexandria, functional GGA-PBE.

a b c (Å): 7.571 5.248 8.900
angles (deg): 90.00 90.00 90.00
Fractional coordinates of all 12 atoms:
Th 0.497 0.750 0.000
Th 0.785 0.250 0.000
Th 0.275 0.250 0.795
Th 0.775 0.750 0.705
Th 0.285 0.750 0.500
Th 0.997 0.250 0.500
Th 0.775 0.750 0.295
Th 0.275 0.250 0.205
Pb 0.067 0.750 0.000
Pb 0.567 0.250 0.500
C 0.473 0.250 0.000
C 0.973 0.750 0.500

symmetry = Imm2 (44)
energy = -7.075 eV/atom
spin magnetization = 0.00 μB/cell
volume = 354 Å³/cell



A relaxed structure of Th2PbC. Source: Alexandria, functional GGA-PBE.

a b c (Å): 3.704 3.704 8.820
angles (deg): 89.99 102.13 120.01
Fractional coordinates of all 4 atoms:
Th 0.781 0.391 0.172
Th 0.220 0.610 0.829
Pb 0.667 0.833 0.500
C 0.999 0.999 0.999

symmetry = R3m (160)
energy = -7.331 eV/atom
spin magnetization = 0.00 μB/cell
volume = 102 Å³/cell



A relaxed structure of Th3Pb2C. Source: Alexandria, functional GGA-PBE.

a b c (Å): 6.388 7.080 8.316
angles (deg): 101.65 112.59 90.00
Fractional coordinates of all 12 atoms:
Th 0.453 0.250 0.000
Th 0.547 0.750 0.000
Th 0.067 0.086 0.234
Th 0.834 0.414 0.766
Th 0.166 0.586 0.234
Th 0.933 0.914 0.766
Pb 0.745 0.567 0.377
Pb 0.632 0.067 0.377
Pb 0.368 0.933 0.623
Pb 0.255 0.433 0.623
C 0.934 0.750 0.000
C 0.066 0.250 0.000

symmetry = C2/c (15)
energy = -6.707 eV/atom
spin magnetization = 0.00 μB/cell
volume = 339 Å³/cell



A relaxed structure of Th4Pb2C. Source: Alexandria, functional GGA-PBE.

a b c (Å): 5.003 5.003 9.097
angles (deg): 105.96 105.96 90.00
Fractional coordinates of all 7 atoms:
Pb 0.645 0.645 0.290
Pb 0.355 0.355 0.710
C 0.000 0.000 0.000
Th 0.845 0.845 0.690
Th 0.155 0.155 0.310
Th 0.000 0.500 0.000
Th 0.500 0.000 0.000

symmetry = I4/mmm (139)
energy = -6.866 eV/atom
spin magnetization = 0.00 μB/cell
volume = 210 Å³/cell



A relaxed structure of TmTh2PbC. Source: Alexandria, functional GGA-PBE.

a b c (Å): 4.918 5.092 5.092
angles (deg): 90.00 90.00 90.00
Fractional coordinates of all 5 atoms:
Tm 0.500 0.000 0.000
Th 0.000 0.000 0.500
Th 0.000 0.500 0.000
Pb 0.500 0.500 0.500
C 0.000 0.000 0.000

symmetry = P4/mmm (123)
energy = -6.790 eV/atom
spin magnetization = 0.00 μB/cell
volume = 128 Å³/cell



A relaxed structure of Ti5PbC. Source: Alexandria, functional GGA-PBE.

a b c (Å): 5.637 5.637 9.177
angles (deg): 65.98 65.98 62.65
Fractional coordinates of all 14 atoms:
Ti 0.075 0.581 0.086
Ti 0.074 0.581 0.586
Ti 0.581 0.075 0.586
Ti 0.000 0.000 0.250
Ti 0.419 0.926 0.914
Ti 0.581 0.074 0.086
Ti 0.000 0.000 0.750
Ti 0.419 0.925 0.414
Ti 0.926 0.419 0.414
Ti 0.925 0.419 0.914
Pb 0.500 0.500 0.250
Pb 0.500 0.500 0.750
C 0.000 0.000 0.000
C 0.000 0.000 0.500

symmetry = Immm (71)
energy = -7.692 eV/atom
spin magnetization = 0.00 μB/cell
volume = 228 Å³/cell



A relaxed structure of Ti2PbC. Source: Alexandria, functional GGA-PBE.

a b c (Å): 3.228 3.228 14.028
angles (deg): 90.00 90.00 120.00
Fractional coordinates of all 8 atoms:
Ti 0.667 0.333 0.923
Ti 0.333 0.667 0.077
Ti 0.333 0.667 0.423
Ti 0.667 0.333 0.577
Pb 0.333 0.667 0.750
Pb 0.667 0.333 0.250
C 0.000 0.000 0.000
C 0.000 0.000 0.500

symmetry = P6_3/mmc (194)
energy = -7.749 eV/atom
spin magnetization = 0.00 μB/cell
volume = 127 Å³/cell



A relaxed structure of Ti2PbC2. Source: Alexandria, functional GGA-PBE.

a b c (Å): 3.942 3.942 6.019
angles (deg): 70.89 70.89 90.00
Fractional coordinates of all 5 atoms:
Pb 0.000 0.000 0.000
C 0.750 0.250 0.500
C 0.250 0.750 0.500
Ti 0.304 0.304 0.393
Ti 0.696 0.696 0.607

symmetry = I4/mmm (139)
energy = -7.508 eV/atom
spin magnetization = 0.00 μB/cell
volume = 83 Å³/cell



A relaxed structure of TiPb3C. Source: Alexandria, functional GGA-PBE.

a b c (Å): 4.944 4.944 4.944
angles (deg): 90.00 90.00 90.00
Fractional coordinates of all 5 atoms:
Pb 0.000 0.500 0.000
Pb 0.000 0.000 0.500
Pb 0.500 0.000 0.000
C 0.000 0.000 0.000
Ti 0.500 0.500 0.500

symmetry = Pm-3m (221)
energy = -4.408 eV/atom
spin magnetization = 0.00 μB/cell
volume = 121 Å³/cell



A relaxed structure of Ti2PbC. Source: Alexandria, functional GGA-PBE.

a b c (Å): 3.237 3.237 7.301
angles (deg): 77.19 77.19 60.00
Fractional coordinates of all 4 atoms:
Pb 0.500 0.500 0.500
C 0.000 0.000 0.000
Ti 0.283 0.283 0.151
Ti 0.717 0.717 0.849

symmetry = R-3m (166)
energy = -7.721 eV/atom
spin magnetization = 0.00 μB/cell
volume = 64 Å³/cell



A relaxed structure of Ti2PbC. Source: Alexandria, functional GGA-PBE.

a b c (Å): 3.215 3.215 7.317
angles (deg): 77.31 77.31 60.00
Fractional coordinates of all 4 atoms:
Ti 0.051 0.051 0.846
Ti 0.282 0.282 0.154
Pb 0.499 0.499 0.502
C 0.667 0.667 0.998

symmetry = R3m (160)
energy = -7.728 eV/atom
spin magnetization = 0.00 μB/cell
volume = 63 Å³/cell